one:
Zn2PtO4: optimized geometry, PBE-GGA.

Geometry as POSCAR:
```
Zn2PtO4
1.0
-0.5933 -5.8362 1.9156
0.3863 -2.0991 -5.7903
4.3609 3.5865 2.4904
Zn O Pt
4 8 2
Cartesian
2.1804 1.7932 1.2452
3.2431 -2.5925 -1.9028
0.1931 -1.0495 -2.8951
0.9108 -1.7563 0.5186
2.2548 -1.0527 -2.6305
-0.2375 -4.8612 -0.0849
4.2346 1.4998 1.3681
1.8991 -3.2960 1.2463
2.2393 -0.1619 0.1967
4.3914 0.5125 -1.2993
1.9146 -4.1869 -1.5809
-0.0807 -5.8486 -2.7524
-0.1035 -3.9676 -1.9373
2.3736 0.7437 -1.6499
```



two:
Zn2PtO4: optimized geometry, PBE-GGA.

Geometry as POSCAR:
```
Zn2PtO4
1.0
3.2641 0.0000 0.3072
1.6176 2.8351 0.3072
0.6522 0.3787 10.5670
O Zn Pt
4 2 1
Cartesian
2.3619 1.3717 9.8944
1.0221 0.5936 6.6353
4.5117 2.6202 4.5460
3.1719 1.8421 1.2868
1.2535 0.7280 4.1768
4.2804 2.4859 7.0044
0.0000 0.0000 0.0000
```

Output
As for the density of states at the Fermi level: 0.292 states/eV per atom.



Q: What are the energies relative to the best structure? A: one 0.0; two 11.7, in kJ/mol of atoms.